HfAlGa3 | PBE | optimized geometry

For the energy above the most stable polymorph in this dataset, the calculation gives 0.0000 eV/atom. As for the volume: 18.3 Å³/atom. The value obtained for the calculated formation energy is -0.08 eV/atom.

The structure belongs to space group P2_1/m (No. 11); the cell edges are 5.1612, 5.4540 and 6.9224 Å and the angles 90.00°, 109.97° and 90.00°. The asymmetric unit holds Hf at (0.1253, 0.2500, 0.0009), Al at (0.2780, 0.7500, 0.7652), Ga at (0.2108, 0.0022, 0.3978) and Ga at (0.4704, 0.7500, 0.1771).